Tm4CdFe | PBE | relaxed

Total energy, eV/atom: -4.5173
E_form, meV/atom: 27
Size of the total moment, μB/cell: 0.00

```
data_Tm4CdFe
_cell_length_a 8.010
_cell_length_b 6.828
_cell_length_c 5.940
_cell_angle_alpha 90.00
_cell_angle_beta 98.70
_cell_angle_gamma 90.00
_symmetry_space_group_name_H-M 'P 1'
_symmetry_Int_Tables_number 1
loop_
_symmetry_equiv_pos_as_xyz
'x,y,z'
loop_
_atom_site_label
_atom_site_type_symbol
_atom_site_fract_x
_atom_site_fract_y
_atom_site_fract_z
Tm1 Tm 0.125 0.142 0.379
Tm2 Tm 0.125 0.358 0.879
Tm3 Tm 0.286 0.622 0.428
Tm4 Tm 0.286 0.878 0.928
Tm5 Tm 0.714 0.122 0.072
Tm6 Tm 0.714 0.378 0.572
Tm7 Tm 0.875 0.642 0.121
Tm8 Tm 0.875 0.858 0.621
Cd1 Cd 0.500 0.000 0.500
Cd2 Cd 0.500 0.500 0.000
Fe1 Fe 0.000 0.000 0.000
Fe2 Fe 0.000 0.500 0.500
```

KSrZr2 | PBE | relaxed

Total energy, eV/atom: -4.1243
E_form, meV/atom: 845
Size of the total moment, μB/cell: 0.65

```
data_KSrZr2
_cell_length_a 3.448
_cell_length_b 5.621
_cell_length_c 6.437
_cell_angle_alpha 90.00
_cell_angle_beta 90.00
_cell_angle_gamma 90.00
_symmetry_space_group_name_H-M 'P 1'
_symmetry_Int_Tables_number 1
loop_
_symmetry_equiv_pos_as_xyz
'x,y,z'
loop_
_atom_site_label
_atom_site_type_symbol
_atom_site_fract_x
_atom_site_fract_y
_atom_site_fract_z
K1 K 0.000 0.000 0.000
Sr1 Sr 0.500 0.500 0.000
Zr1 Zr 0.000 0.500 0.500
Zr2 Zr 0.500 0.000 0.500
```

Dy2Ho6Er3In | PBE | relaxed

Total energy, eV/atom: -4.4672
E_form, meV/atom: -42
Size of the total moment, μB/cell: 0.00

```
data_Dy2Ho6Er3In
_cell_length_a 6.045
_cell_length_b 6.045
_cell_length_c 11.570
_cell_angle_alpha 95.01
_cell_angle_beta 95.01
_cell_angle_gamma 120.04
_symmetry_space_group_name_H-M 'P 1'
_symmetry_Int_Tables_number 1
loop_
_symmetry_equiv_pos_as_xyz
'x,y,z'
loop_
_atom_site_label
_atom_site_type_symbol
_atom_site_fract_x
_atom_site_fract_y
_atom_site_fract_z
Dy1 Dy 0.166 0.834 0.000
Dy2 Dy 0.834 0.166 0.000
Ho1 Ho 0.089 0.418 0.752
Ho2 Ho 0.253 0.253 0.249
Ho3 Ho 0.418 0.089 0.752
Ho4 Ho 0.582 0.911 0.248
Ho5 Ho 0.747 0.747 0.751
Ho6 Ho 0.911 0.582 0.248
Er1 Er 0.000 0.000 0.500
Er2 Er 0.333 0.667 0.500
Er3 Er 0.667 0.333 0.500
In1 In 0.500 0.500 0.000
```

Ba3NaN | PBE | relaxed

Total energy, eV/atom: -3.3136
Energy relative to the elements, uncorrected, eV/atom: -0.231
Size of the total moment, μB/cell: 0.00

```
data_Ba3NaN
_cell_length_a 7.582
_cell_length_b 8.267
_cell_length_c 8.386
_cell_angle_alpha 115.57
_cell_angle_beta 92.41
_cell_angle_gamma 99.34
_symmetry_space_group_name_H-M 'P 1'
_symmetry_Int_Tables_number 1
loop_
_symmetry_equiv_pos_as_xyz
'x,y,z'
loop_
_atom_site_label
_atom_site_type_symbol
_atom_site_fract_x
_atom_site_fract_y
_atom_site_fract_z
Ba1 Ba 0.075 0.177 0.433
Ba2 Ba 0.314 0.180 0.930
Ba3 Ba 0.408 0.756 0.435
Ba4 Ba 0.592 0.244 0.565
Ba5 Ba 0.686 0.820 0.070
Ba6 Ba 0.925 0.823 0.567
Na1 Na 0.150 0.649 0.920
Na2 Na 0.850 0.351 0.080
N1 N 0.260 0.036 0.592
N2 N 0.740 0.964 0.408
```